Here is crystalline NaSn4Pt4 at its relaxed geometry from Alexandria via LeMat-Bulk. Energies are from PBE-GGA.

Lattice parameters (Å, degrees): 8.9990 8.9990 5.3994 90.00 90.00 90.00
Sites, in units of the cell vectors:
Na: 0.2500 0.2500 0.2500
Na: 0.7500 0.7500 0.7500
Sn: 0.1172 0.6258 0.1621
Sn: 0.1258 0.8828 0.6621
Sn: 0.3742 0.6172 0.6621
Sn: 0.3828 0.8742 0.1621
Sn: 0.6172 0.1258 0.8379
Sn: 0.6258 0.3828 0.3379
Sn: 0.8742 0.1172 0.3379
Sn: 0.8828 0.3742 0.8379
Pt: 0.0736 0.5850 0.6712
Pt: 0.0850 0.9264 0.1712
Pt: 0.4150 0.5736 0.1712
Pt: 0.4264 0.9150 0.6712
Pt: 0.5736 0.0850 0.3288
Pt: 0.5850 0.4264 0.8288
Pt: 0.9150 0.0736 0.8288
Pt: 0.9264 0.4150 0.3288

Output
- DFT formation energy (eV/atom) = -0.47

---

Here is crystalline Tm2MgCd3 at its relaxed geometry from Alexandria via LeMat-Bulk. Energies are from PBE-GGA.

Lattice parameters (Å, degrees): 5.1029 5.1029 12.6528 90.00 90.00 120.00
Sites, in units of the cell vectors:
Tm: 0.0000 0.0000 0.0000
Tm: 0.0000 0.0000 0.5000
Tm: 0.3333 0.6667 0.1725
Tm: 0.6667 0.3333 0.8275
Mg: 0.3333 0.6667 0.6624
Mg: 0.6667 0.3333 0.3376
Cd: 0.0000 0.0000 0.2542
Cd: 0.0000 0.0000 0.7458
Cd: 0.3333 0.6667 0.4178
Cd: 0.3333 0.6667 0.9144
Cd: 0.6667 0.3333 0.0856
Cd: 0.6667 0.3333 0.5822

Output
- DFT formation energy (eV/atom) = -0.29
- energy relative to the lowest polymorph listed for this composition (meV per atom) = 0

---

Here is crystalline UPaCuNi at its relaxed geometry from Alexandria via LeMat-Bulk. Energies are from PBE-GGA.

Lattice parameters (Å, degrees): 4.6219 4.6219 4.6219 60.00 60.00 60.00
Sites, in units of the cell vectors:
U: 0.0000 0.0000 0.0000
Pa: 0.2500 0.2500 0.2500
Cu: 0.5000 0.5000 0.5000
Ni: 0.7500 0.7500 0.7500

Output
- DFT formation energy (eV/atom) = 0.01

---

Here is crystalline MgTaSi at its relaxed geometry from Alexandria via LeMat-Bulk. Energies are from PBE-GGA.

Lattice parameters (Å, degrees): 4.4191 4.4191 4.4191 60.00 60.00 60.00
Sites, in units of the cell vectors:
Mg: 0.0000 0.0000 0.0000
Ta: 0.7500 0.7500 0.7500
Si: 0.5000 0.5000 0.5000

Output
- energy relative to the elements, uncorrected (eV per atom) = 0.691

---

Here is crystalline K2RhN2 at its relaxed geometry from Alexandria via LeMat-Bulk. Energies are from PBE-GGA.

Lattice parameters (Å, degrees): 5.4703 5.4703 4.8047 90.00 90.00 90.00
Sites, in units of the cell vectors:
K: 0.1833 0.3167 0.0000
K: 0.3167 0.8167 0.0000
K: 0.6833 0.1833 0.0000
K: 0.8167 0.6833 0.0000
Rh: 0.0000 0.0000 0.5000
Rh: 0.5000 0.5000 0.5000
N: 0.0890 0.5890 0.5000
N: 0.4110 0.0890 0.5000
N: 0.5890 0.9110 0.5000
N: 0.9110 0.4110 0.5000

Output
- energy relative to the elements, uncorrected (eV per atom) = 0.527

---

Here is crystalline ZrMnAl at its relaxed geometry from Alexandria via LeMat-Bulk. Energies are from PBE-GGA.

Lattice parameters (Å, degrees): 8.4518 5.1510 5.1510 61.29 90.00 90.00
Sites, in units of the cell vectors:
Zr: 0.1781 0.0000 0.0000
Zr: 0.3064 0.6677 0.6677
Zr: 0.6936 0.6677 0.6677
Zr: 0.8219 0.0000 0.0000
Mn: 0.0000 0.5013 0.9783
Mn: 0.0000 0.5097 0.5097
Mn: 0.0000 0.9783 0.5013
Mn: 0.5000 0.1675 0.1675
Al: 0.2384 0.3289 0.3289
Al: 0.5000 0.1668 0.6774
Al: 0.5000 0.6774 0.1668
Al: 0.7616 0.3289 0.3289

Output
- DFT formation energy (eV/atom) = -0.35

---

Here is crystalline RbInReHg2 at its relaxed geometry from Alexandria via LeMat-Bulk. Energies are from PBE-GGA.

Lattice parameters (Å, degrees): 6.2076 6.2076 6.3613 90.00 90.00 90.00
Sites, in units of the cell vectors:
Rb: 0.0000 0.0000 0.0000
In: 0.5000 0.5000 0.5000
Re: 0.0000 0.0000 0.5000
Hg: 0.0000 0.5000 0.0000
Hg: 0.5000 0.0000 0.0000

Output
- DFT formation energy (eV/atom) = 1.73

---

Here is crystalline Na3FeIr at its relaxed geometry from Alexandria via LeMat-Bulk. Energies are from PBE-GGA.

Lattice parameters (Å, degrees): 5.4316 5.4316 5.4316 90.00 90.00 90.00
Sites, in units of the cell vectors:
Na: 0.0000 0.0000 0.5000
Na: 0.0000 0.5000 0.0000
Na: 0.5000 0.0000 0.0000
Fe: 0.5000 0.5000 0.5000
Ir: 0.0000 0.0000 0.0000

Output
- DFT formation energy (eV/atom) = 1.34
- energy relative to the lowest polymorph listed for this composition (meV per atom) = 0

---

Here is crystalline Rb2Cd4Hg3Pb at its relaxed geometry from Alexandria via LeMat-Bulk. Energies are from PBE-GGA.

Lattice parameters (Å, degrees): 5.2724 5.2724 11.6801 90.00 90.00 90.00
Sites, in units of the cell vectors:
Rb: 0.0000 0.5000 0.2485
Rb: 0.5000 0.0000 0.7515
Cd: 0.0000 0.0000 0.0000
Cd: 0.0000 0.5000 0.6286
Cd: 0.5000 0.0000 0.3714
Cd: 0.5000 0.5000 0.0000
Hg: 0.0000 0.5000 0.8776
Hg: 0.5000 0.0000 0.1224
Hg: 0.5000 0.5000 0.5000
Pb: 0.0000 0.0000 0.5000

Output
- DFT formation energy (eV/atom) = -0.12

---

Here is crystalline TmCdIrPd at its relaxed geometry from Alexandria via LeMat-Bulk. Energies are from PBE-GGA.

Lattice parameters (Å, degrees): 4.7119 4.7119 4.7119 60.00 60.00 60.00
Sites, in units of the cell vectors:
Tm: 0.0000 0.0000 0.0000
Cd: 0.5000 0.5000 0.5000
Ir: 0.7500 0.7500 0.7500
Pd: 0.2500 0.2500 0.2500

Output
- DFT formation energy (eV/atom) = -0.59

---

Here is crystalline HgIrPt at its relaxed geometry from Alexandria via LeMat-Bulk. Energies are from PBE-GGA.

Lattice parameters (Å, degrees): 2.9005 2.9005 6.9494 90.00 90.00 120.00
Sites, in units of the cell vectors:
Hg: 0.0000 0.0000 0.0000
Ir: 0.6667 0.3333 0.3432
Pt: 0.3333 0.6667 0.6539

Output
- DFT formation energy (eV/atom) = 0.32
- energy relative to the lowest polymorph listed for this composition (meV per atom) = 11

---

Here is crystalline Tb3Tm3Pd2 at its relaxed geometry from Alexandria via LeMat-Bulk. Energies are from PBE-GGA.

Lattice parameters (Å, degrees): 6.6703 6.6703 17.6524 90.00 90.00 146.58
Sites, in units of the cell vectors:
Tb: 0.0483 0.9517 0.6041
Tb: 0.0483 0.9517 0.8959
Tb: 0.3509 0.6491 0.7500
Tb: 0.6491 0.3509 0.2500
Tb: 0.9517 0.0483 0.1041
Tb: 0.9517 0.0483 0.3959
Tm: 0.3458 0.6542 0.5416
Tm: 0.3458 0.6542 0.9584
Tm: 0.3831 0.6169 0.2500
Tm: 0.6169 0.3831 0.7500
Tm: 0.6542 0.3458 0.0416
Tm: 0.6542 0.3458 0.4584
Pd: 0.2518 0.7482 0.1269
Pd: 0.2518 0.7482 0.3731
Pd: 0.7482 0.2518 0.6269
Pd: 0.7482 0.2518 0.8731

Output
- DFT formation energy (eV/atom) = -0.39

---

Here is crystalline PmDy2Ag at its relaxed geometry from Alexandria via LeMat-Bulk. Energies are from PBE-GGA.

Lattice parameters (Å, degrees): 3.6297 3.6297 8.6876 90.00 90.00 90.00
Sites, in units of the cell vectors:
Pm: 0.0000 0.0000 0.0000
Dy: 0.5000 0.5000 0.2910
Dy: 0.5000 0.5000 0.7090
Ag: 0.0000 0.0000 0.5000

Output
- DFT formation energy (eV/atom) = -0.13
- energy relative to the lowest polymorph listed for this composition (meV per atom) = 0

---

Here is crystalline TbZn8Co2 at its relaxed geometry from Alexandria via LeMat-Bulk. Energies are from PBE-GGA.

Lattice parameters (Å, degrees): 6.1870 6.1870 5.2007 90.00 90.00 90.00
Sites, in units of the cell vectors:
Tb: 0.0000 0.0000 0.0000
Zn: 0.2893 0.2893 0.2589
Zn: 0.2893 0.2893 0.7411
Zn: 0.2893 0.7107 0.2589
Zn: 0.2893 0.7107 0.7411
Zn: 0.7107 0.2893 0.2589
Zn: 0.7107 0.2893 0.7411
Zn: 0.7107 0.7107 0.2589
Zn: 0.7107 0.7107 0.7411
Co: 0.0000 0.5000 0.5000
Co: 0.5000 0.0000 0.5000

Output
- DFT formation energy (eV/atom) = 0.23

---

Here is crystalline CaTa2Mn at its relaxed geometry from Alexandria via LeMat-Bulk. Energies are from PBE-GGA.

Lattice parameters (Å, degrees): 5.2562 5.2562 5.5353 106.49 106.49 35.26
Sites, in units of the cell vectors:
Ca: 0.0000 0.0000 0.0000
Ta: 0.2071 0.2071 0.6264
Ta: 0.4533 0.4533 0.4715
Mn: 0.7588 0.7588 0.3296

Output
- DFT formation energy (eV/atom) = 0.58
- energy relative to the lowest polymorph listed for this composition (meV per atom) = 189

---

Here is crystalline Cs3Te4Au at its relaxed geometry from Alexandria via LeMat-Bulk. Energies are from PBE-GGA.

Lattice parameters (Å, degrees): 6.6986 12.1807 9.6531 90.00 90.00 90.00
Sites, in units of the cell vectors:
Cs: 0.2500 0.0394 0.1860
Cs: 0.2500 0.2500 0.5650
Cs: 0.2500 0.4606 0.1860
Cs: 0.7500 0.5394 0.8140
Cs: 0.7500 0.7500 0.4350
Cs: 0.7500 0.9606 0.8140
Te: 0.0333 0.7500 0.0697
Te: 0.2500 0.6321 0.5685
Te: 0.2500 0.8679 0.5685
Te: 0.4667 0.7500 0.0697
Te: 0.5333 0.2500 0.9303
Te: 0.7500 0.1321 0.4315
Te: 0.7500 0.3679 0.4315
Te: 0.9667 0.2500 0.9303
Au: 0.2500 0.7500 0.3181
Au: 0.7500 0.2500 0.6819

Output
- energy relative to the lowest polymorph listed for this composition (meV per atom) = 27
- energy relative to the elements, uncorrected (eV per atom) = -0.605

---

Here is crystalline Fe2CoIr at its relaxed geometry from Alexandria via LeMat-Bulk. Energies are from PBE-GGA.

Lattice parameters (Å, degrees): 8.3032 8.3032 8.3032 18.51 18.51 18.51
Sites, in units of the cell vectors:
Fe: 0.0000 0.0000 0.0000
Fe: 0.2521 0.2521 0.2521
Co: 0.7438 0.7438 0.7438
Ir: 0.4990 0.4990 0.4990

Output
- DFT formation energy (eV/atom) = 0.08

---

Here is crystalline Li5Ta3 at its relaxed geometry from Alexandria via LeMat-Bulk. Energies are from PBE-GGA.

Lattice parameters (Å, degrees): 5.9099 5.9099 4.6025 90.00 90.00 120.84
Sites, in units of the cell vectors:
Li: 0.0000 0.0000 0.0000
Li: 0.0000 0.5000 0.0000
Li: 0.2544 0.7456 0.5000
Li: 0.5000 0.0000 0.0000
Li: 0.7456 0.2544 0.5000
Ta: 0.2630 0.2630 0.5000
Ta: 0.5000 0.5000 0.0000
Ta: 0.7370 0.7370 0.5000

Output
- DFT formation energy (eV/atom) = 0.49

---

Here is crystalline Na3ZnAu2 at its relaxed geometry from Alexandria via LeMat-Bulk. Energies are from PBE-GGA.

Lattice parameters (Å, degrees): 11.4423 4.8140 9.4817 90.00 90.00 90.00
Sites, in units of the cell vectors:
Na: 0.0363 0.2500 0.1252
Na: 0.1549 0.7500 0.6316
Na: 0.1967 0.2500 0.8459
Na: 0.3033 0.7500 0.3459
Na: 0.3451 0.2500 0.1316
Na: 0.4637 0.7500 0.6252
Na: 0.5363 0.2500 0.3748
Na: 0.6549 0.7500 0.8684
Na: 0.6967 0.2500 0.6541
Na: 0.8033 0.7500 0.1541
Na: 0.8451 0.2500 0.3684
Na: 0.9637 0.7500 0.8748
Zn: 0.1038 0.2500 0.4439
Zn: 0.3962 0.7500 0.9439
Zn: 0.6038 0.2500 0.0561
Zn: 0.8962 0.7500 0.5561
Au: 0.0417 0.7500 0.3264
Au: 0.1842 0.7500 0.0601
Au: 0.3158 0.2500 0.5601
Au: 0.4583 0.2500 0.8264
Au: 0.5417 0.7500 0.1736
Au: 0.6842 0.7500 0.4399
Au: 0.8158 0.2500 0.9399
Au: 0.9583 0.2500 0.6736

Output
- DFT formation energy (eV/atom) = -0.26
- energy relative to the lowest polymorph listed for this composition (meV per atom) = 0

---

Here is crystalline Li2NdSmTl4 at its relaxed geometry from Alexandria via LeMat-Bulk. Energies are from PBE-GGA.

Lattice parameters (Å, degrees): 9.1007 9.1007 9.1007 33.69 33.69 33.69
Sites, in units of the cell vectors:
Li: 0.2502 0.2502 0.2502
Li: 0.7498 0.7498 0.7498
Nd: 0.5000 0.5000 0.5000
Sm: 0.0000 0.0000 0.0000
Tl: 0.1246 0.1246 0.1246
Tl: 0.3738 0.3738 0.3738
Tl: 0.6262 0.6262 0.6262
Tl: 0.8754 0.8754 0.8754

Output
- DFT formation energy (eV/atom) = -0.34

---

Here is crystalline KPb2Br5 at its relaxed geometry from Alexandria via LeMat-Bulk. Energies are from PBE-GGA.

Lattice parameters (Å, degrees): 11.1225 8.2934 15.1949 90.00 111.38 90.00
Sites, in units of the cell vectors:
K: 0.0000 0.0000 0.0000
K: 0.0000 0.5000 0.5000
K: 0.5000 0.0000 0.0000
K: 0.5000 0.5000 0.5000
Pb: 0.0847 0.0041 0.3778
Pb: 0.0847 0.4959 0.8778
Pb: 0.4154 0.0046 0.6223
Pb: 0.4154 0.4954 0.1223
Pb: 0.5846 0.5046 0.8777
Pb: 0.5846 0.9954 0.3777
Pb: 0.9153 0.5041 0.1222
Pb: 0.9153 0.9959 0.6222
Br: 0.0366 0.1810 0.2007
Br: 0.0366 0.3190 0.7007
Br: 0.1445 0.6494 0.0853
Br: 0.1445 0.8506 0.5853
Br: 0.2500 0.2255 0.9998
Br: 0.2500 0.2745 0.4998
Br: 0.3557 0.6497 0.9150
Br: 0.3557 0.8503 0.4150
Br: 0.4607 0.1828 0.7987
Br: 0.4607 0.3172 0.2987
Br: 0.5393 0.6828 0.7013
Br: 0.5393 0.8172 0.2013
Br: 0.6443 0.1497 0.5850
Br: 0.6443 0.3503 0.0850
Br: 0.7500 0.7255 0.5002
Br: 0.7500 0.7745 0.0002
Br: 0.8555 0.1494 0.4147
Br: 0.8555 0.3506 0.9147
Br: 0.9634 0.6810 0.2993
Br: 0.9634 0.8190 0.7993

Output
- energy relative to the elements, uncorrected (eV per atom) = -1.123

---

Here is crystalline CrTcW3 at its relaxed geometry from Alexandria via LeMat-Bulk. Energies are from PBE-GGA.

Lattice parameters (Å, degrees): 4.2810 27.7709 2.7112 90.00 90.04 90.00
Sites, in units of the cell vectors:
Cr: 0.2494 0.1623 0.2950
Cr: 0.2494 0.3377 0.7950
Cr: 0.7506 0.6623 0.2050
Cr: 0.7506 0.8377 0.7050
Tc: 0.2505 0.5238 0.2061
Tc: 0.2505 0.9762 0.7061
Tc: 0.7495 0.0238 0.2939
Tc: 0.7495 0.4762 0.7939
W: 0.2493 0.0706 0.9644
W: 0.2493 0.4294 0.4644
W: 0.2507 0.6175 0.8746
W: 0.2508 0.7058 0.5441
W: 0.2508 0.7942 0.0441
W: 0.2507 0.8825 0.3746
W: 0.7493 0.1175 0.6254
W: 0.7492 0.2058 0.9559
W: 0.7492 0.2942 0.4559
W: 0.7493 0.3825 0.1254
W: 0.7507 0.5706 0.5356
W: 0.7507 0.9294 0.0356

Output
- DFT formation energy (eV/atom) = 0.39
- energy relative to the lowest polymorph listed for this composition (meV per atom) = 0